1.
NaInN2: optimized geometry, PBE.

Unit cell a=3.4789 b=3.4789 c=19.8240 alpha=90.00 beta=90.00 gamma=120.00
Space group R-3m (No. 166, hexagonal axes)
Asymmetric unit:
Na1 0.0000 0.0000 0.0000 (multiplicity 3)
In1 0.0000 0.0000 0.5000 (multiplicity 3)
N1 0.0000 0.0000 0.1130 (multiplicity 6)

As for the calculated total energy: -17.26 eV per formula unit. The value obtained for the formation energy without anion corrections is 0.861 eV/atom. As for the crystal system: trigonal.



2.
Na2InN: optimized geometry, PBE.

Unit cell a=6.7249 b=6.7249 c=6.7249 alpha=90.00 beta=90.00 gamma=90.00
Space group Fm-3m (No. 225)
Asymmetric unit:
Na1 0.2500 0.2500 0.2500 (multiplicity 8)
In1 0.0000 0.0000 0.0000 (multiplicity 4)
N1 0.0000 0.0000 0.5000 (multiplicity 4)

As for the calculated total energy: -10.81 eV per formula unit. The value obtained for the formation energy without anion corrections is 0.723 eV/atom. As for the crystal system: cubic. The distance to the lowest polymorph of the same formula is 0.000 eV/atom.



3.
Na3InN: optimized geometry, PBE.

Unit cell a=5.7177 b=5.7177 c=5.7177 alpha=90.00 beta=90.00 gamma=90.00
Space group Pm-3m (No. 221)
Asymmetric unit:
Na1 0.0000 0.0000 0.5000 (multiplicity 3)
In1 0.0000 0.0000 0.0000 (multiplicity 1)
N1 0.5000 0.5000 0.5000 (multiplicity 1)

As for the calculated total energy: -8.19 eV per formula unit. The value obtained for the formation energy without anion corrections is 1.366 eV/atom. As for the crystal system: cubic. The distance to the lowest polymorph of the same formula is 1.046 eV/atom.



4.
NaInN: optimized geometry, PBE.

Unit cell a=3.5551 b=3.5551 c=30.7882 alpha=90.00 beta=90.00 gamma=120.00
Space group R-3m (No. 166, hexagonal axes)
Asymmetric unit:
Na1 0.0000 0.0000 0.0000 (multiplicity 3)
Na2 0.0000 0.0000 0.5000 (multiplicity 3)
In1 0.0000 0.0000 0.2491 (multiplicity 6)
N1 0.0000 0.0000 0.1093 (multiplicity 6)

As for the calculated total energy: -11.96 eV per formula unit. The value obtained for the formation energy without anion corrections is 0.142 eV/atom. As for the crystal system: trigonal.



5.
NaInN2: optimized geometry, PBE.

Unit cell a=5.8781 b=5.8781 c=7.9933 alpha=90.00 beta=90.00 gamma=90.00
Space group I-42d (No. 122)
Asymmetric unit:
Na1 0.0000 0.0000 0.0000 (multiplicity 4)
In1 0.0000 0.0000 0.5000 (multiplicity 4)
N1 0.2093 0.2500 0.6250 (multiplicity 8)

As for the calculated total energy: -17.54 eV per formula unit. The value obtained for the formation energy without anion corrections is 0.793 eV/atom. As for the crystal system: tetragonal.



6.
NaInN2: optimized geometry, PBE.

Unit cell a=4.8003 b=20.4639 c=3.5005 alpha=90.00 beta=90.90 gamma=90.00
Space group C2/c (No. 15)
Asymmetric unit:
Na1 0.0000 0.0964 0.2500 (multiplicity 4)
In1 0.2500 0.2500 0.0000 (multiplicity 4)
N1 0.1199 0.4387 0.2515 (multiplicity 8)

As for the calculated total energy: -20.70 eV per formula unit. The value obtained for the formation energy without anion corrections is 0.003 eV/atom. As for the crystal system: monoclinic.



7.
NaNb4InN8: optimized geometry, PBE.

Unit cell a=6.3283 b=6.3283 c=15.8140 alpha=90.00 beta=90.00 gamma=120.00
Space group R3m (No. 160, hexagonal axes)
Asymmetric unit:
Na1 0.0000 0.0000 0.0000 (multiplicity 3)
Nb1 0.0000 0.0000 0.3742 (multiplicity 3)
Nb2 0.0080 0.5040 0.4997 (multiplicity 9)
In1 0.0000 0.0000 0.6189 (multiplicity 3)
N1 0.0000 0.0000 0.2351 (multiplicity 3)
N2 0.0000 0.0000 0.7557 (multiplicity 3)
N3 0.1703 0.3405 0.0893 (multiplicity 9)
N4 0.1792 0.3585 0.5641 (multiplicity 9)

As for the calculated total energy: -117.79 eV per formula unit. The value obtained for the formation energy without anion corrections is -0.489 eV/atom. As for the crystal system: trigonal.



8.
NaInN2O: optimized geometry, PBE.

Unit cell a=4.3561 b=4.3561 c=4.3154 alpha=90.00 beta=90.00 gamma=90.00
Space group P4/mmm (No. 123)
Asymmetric unit:
Na1 0.0000 0.0000 0.0000 (multiplicity 1)
In1 0.5000 0.5000 0.5000 (multiplicity 1)
N1 0.0000 0.5000 0.5000 (multiplicity 2)
O1 0.5000 0.5000 0.0000 (multiplicity 1)

As for the calculated total energy: -21.77 eV per formula unit. The value obtained for the formation energy without anion corrections is 0.779 eV/atom. As for the crystal system: tetragonal.



9.
NaInN2O: optimized geometry, PBE.

Unit cell a=4.2677 b=4.2677 c=4.1327 alpha=90.00 beta=90.00 gamma=90.00
Space group P4/mmm (No. 123)
Asymmetric unit:
Na1 0.0000 0.0000 0.0000 (multiplicity 1)
In1 0.5000 0.5000 0.5000 (multiplicity 1)
N1 0.0000 0.5000 0.0000 (multiplicity 2)
O1 0.0000 0.0000 0.5000 (multiplicity 1)

As for the calculated total energy: -17.66 eV per formula unit. The value obtained for the formation energy without anion corrections is 1.602 eV/atom. As for the crystal system: tetragonal.



10.
NaInNO2: optimized geometry, PBE.

Unit cell a=4.1436 b=4.1436 c=4.1580 alpha=90.00 beta=90.00 gamma=90.00
Space group P4/mmm (No. 123)
Asymmetric unit:
Na1 0.0000 0.0000 0.0000 (multiplicity 1)
In1 0.5000 0.5000 0.5000 (multiplicity 1)
N1 0.0000 0.0000 0.5000 (multiplicity 1)
O1 0.0000 0.5000 0.0000 (multiplicity 2)

As for the calculated total energy: -17.99 eV per formula unit. The value obtained for the formation energy without anion corrections is 0.861 eV/atom. As for the crystal system: tetragonal.



11.
NaInNO2: optimized geometry, PBE.

Unit cell a=4.2586 b=4.2586 c=4.3805 alpha=90.00 beta=90.00 gamma=90.00
Space group P4/mmm (No. 123)
Asymmetric unit:
Na1 0.0000 0.0000 0.0000 (multiplicity 1)
In1 0.5000 0.5000 0.5000 (multiplicity 1)
N1 0.5000 0.5000 0.0000 (multiplicity 1)
O1 0.0000 0.5000 0.5000 (multiplicity 2)

As for the calculated total energy: -22.37 eV per formula unit. The value obtained for the formation energy without anion corrections is -0.014 eV/atom. As for the crystal system: tetragonal.



12.
NaPa4InN8: optimized geometry, PBE.

Unit cell a=7.1335 b=7.1335 c=15.0471 alpha=90.00 beta=90.00 gamma=120.00
Space group R3m (No. 160, hexagonal axes)
Asymmetric unit:
Na1 0.0000 0.0000 0.0000 (multiplicity 3)
Pa1 0.0000 0.0000 0.4157 (multiplicity 3)
Pa2 0.1684 0.3368 0.8389 (multiplicity 9)
In1 0.0000 0.0000 0.6263 (multiplicity 3)
N1 0.0000 0.0000 0.2520 (multiplicity 3)
N2 0.0000 0.0000 0.7675 (multiplicity 3)
N3 0.0069 0.5034 0.2278 (multiplicity 9)
N4 0.0218 0.5109 0.7608 (multiplicity 9)

As for the calculated total energy: -124.72 eV per formula unit. The value obtained for the formation energy without anion corrections is -1.148 eV/atom. As for the crystal system: trigonal.



Q: The lowest calculated total energy belongs to which entry?
A: NaPa4InN8